No. 1
DFT (PBE) results for a relaxed ScCdGaNi crystal.

Values from the calculation:
**Crystal system**: cubic
**Uncorrected energy**: -4.2411 eV per atom

a b c (Å): 6.4246 6.4246 6.4246
angles (deg): 90.00 90.00 90.00
Last column: nearest neighbours and their distance in Å.
Space group F-43m (No. 216)
One atom of each set of equivalent atoms:
Sc 0.0000 0.0000 0.0000 [4 per cell]  4 Ga 2.78, 4 Cd 2.78
Cd 0.2500 0.2500 0.7500 [4 per cell]  4 Ni 2.78, 4 Sc 2.78
Ga 0.2500 0.2500 0.2500 [4 per cell]  4 Ni 2.78, 4 Sc 2.78
Ni 0.0000 0.0000 0.5000 [4 per cell]  4 Cd 2.78, 4 Ga 2.78


No. 2
DFT (PBE) results for a relaxed UNiAu crystal.

Values from the calculation:
**Energy of formation**: 0.119 eV/atom
**Crystal system**: cubic
**Uncorrected energy**: -6.5914 eV per atom

a b c (Å): 6.2177 6.2177 6.2177
angles (deg): 90.00 90.00 90.00
Last column: nearest neighbours and their distance in Å.
Space group F-43m (No. 216)
One atom of each set of equivalent atoms:
U 0.0000 0.0000 0.0000 [4 per cell]  4 Ni 2.69
Ni 0.2500 0.2500 0.2500 [4 per cell]  4 U 2.69, 4 Au 2.69
Au 0.0000 0.0000 0.5000 [4 per cell]  4 Ni 2.69


No. 3
DFT (PBE) results for a relaxed LiLuPbSe3 crystal.

Values from the calculation:
**Offset from the most stable computed form**: 34 meV per atom
**Crystal system**: orthorhombic
**Uncorrected energy**: -4.6638 eV per atom

a b c (Å): 4.1002 13.4784 10.5573
angles (deg): 90.00 90.00 90.00
Last column: nearest neighbours and their distance in Å.
Space group Cmcm (No. 63)
One atom of each set of equivalent atoms:
Li 0.0000 0.0296 0.2500 [4 per cell]  4 Se 2.49-2.51
Lu 0.0000 0.5000 0.0000 [4 per cell]  6 Se 2.83-2.84
Pb 0.0000 0.2495 0.7500 [4 per cell]  6 Se 3.09-3.26
Se 0.0000 0.1376 0.0586 [8 per cell]  1 Li 2.49
Se 0.0000 0.4223 0.2500 [4 per cell]  2 Li 2.51


No. 4
DFT (PBE) results for a relaxed Dy4Cu3Pt crystal.

Values from the calculation:
**Energy of formation**: -0.542 eV/atom
**Crystal system**: monoclinic
**Uncorrected energy**: -4.9937 eV per atom

a b c (Å): 5.4521 4.4548 7.1043
angles (deg): 90.00 90.02 90.00
Last column: nearest neighbours and their distance in Å.
Space group Pm (No. 6)
One atom of each set of equivalent atoms:
Dy 0.0000 0.0000 0.0000 [1 per cell]  5 Cu 2.88-3.02, 2 Pt 2.97
Dy 0.2271 0.0000 0.5091 [1 per cell]  5 Cu 2.88-3.04, 2 Pt 2.97
Dy 0.4928 0.5000 0.1393 [1 per cell]  6 Cu 2.87-3.01, 1 Pt 2.91
Dy 0.7275 0.5000 0.6411 [1 per cell]  5 Cu 2.87-3.02, 2 Pt 2.89-2.93
Cu 0.5023 0.0000 0.8625 [1 per cell]  2 Pt 2.75, 7 Dy 2.88-2.99
Cu 0.7381 0.0000 0.3542 [1 per cell]  2 Cu 2.64, 2 Dy 2.88-2.89
Cu 0.9827 0.5000 0.2874 [1 per cell]  2 Cu 2.64, 2 Dy 2.87
Pt 0.2239 0.5000 0.7847 [1 per cell]  2 Cu 2.75, 7 Dy 2.89-2.97


No. 5
DFT (PBE) results for a relaxed ReI2O crystal.

Values from the calculation:
**Crystal system**: monoclinic
**Uncorrected energy**: -5.5124 eV per atom

a b c (Å): 15.3564 3.8118 7.2319
angles (deg): 90.00 104.87 90.00
Last column: nearest neighbours and their distance in Å.
Space group C2/m (No. 12)
One atom of each set of equivalent atoms:
Re 0.9998 0.0000 0.2076 [4 per cell]  2 O 1.91
I 0.1218 0.0000 0.5660 [4 per cell]  2 Re 2.78
I 0.1553 0.0000 0.0856 [4 per cell]  2 Re 2.75
O 0.9998 0.5000 0.2093 [4 per cell]  2 Re 1.91


No. 6
DFT (PBE) results for a relaxed ThSn crystal.

Values from the calculation:
**Crystal system**: cubic
**Uncorrected energy**: -6.2029 eV per atom

a b c (Å): 6.4094 6.4094 6.4094
angles (deg): 90.00 90.00 90.00
Last column: nearest neighbours and their distance in Å.
Space group Fm-3m (No. 225)
One atom of each set of equivalent atoms:
Th 0.0000 0.0000 0.0000 [4 per cell]  6 Sn 3.20
Sn 0.0000 0.0000 0.5000 [4 per cell]  6 Th 3.20


Q: uncorrected energy of number 5 (ReI2O)?
A: -5.5124 eV per atom


Please write out number 1 again, unchanged.
DFT (PBE) results for a relaxed ScCdGaNi crystal.

Values from the calculation:
**Crystal system**: cubic
**Uncorrected energy**: -4.2411 eV per atom

a b c (Å): 6.4246 6.4246 6.4246
angles (deg): 90.00 90.00 90.00
Last column: nearest neighbours and their distance in Å.
Space group F-43m (No. 216)
One atom of each set of equivalent atoms:
Sc 0.0000 0.0000 0.0000 [4 per cell]  4 Ga 2.78, 4 Cd 2.78
Cd 0.2500 0.2500 0.7500 [4 per cell]  4 Ni 2.78, 4 Sc 2.78
Ga 0.2500 0.2500 0.2500 [4 per cell]  4 Ni 2.78, 4 Sc 2.78
Ni 0.0000 0.0000 0.5000 [4 per cell]  4 Cd 2.78, 4 Ga 2.78


Q: Among the records above, which one has the highest uncorrected energy?
A: ScCdGaNi